Entry 1:
Entry from Alexandria: Er8Cu2Pd after structural relaxation (PBE).

Values from the calculation:
Raw total energy (eV per cell): -51.29
D(E_F) (states/eV/f.u.): 14.29
Formation energy (eV per atom): -0.128
Theoretical density (Mg/m³): 9.009
Calculated volume (Å³/atom): 26.33

Cell lengths 7.694, 7.694, 5.719 Å; angles 100.32, 100.32, 114.84 degrees
Positions (direct):
Er (0.000, 0.000, 0.000)
Er (0.031, 0.284, 0.587)
Er (0.157, 0.583, 0.190)
Er (0.284, 0.031, 0.587)
Er (0.458, 0.712, 0.802)
Er (0.583, 0.157, 0.190)
Er (0.712, 0.458, 0.802)
Er (0.740, 0.740, 0.376)
Cu (0.064, 0.673, 0.685)
Cu (0.673, 0.064, 0.685)
Pd (0.369, 0.369, 0.055)


Entry 2:
Entry from Alexandria: Er3CuPd12 after structural relaxation (PBE).

Values from the calculation:
Raw total energy (eV per cell): -90.86
D(E_F) (states/eV/f.u.): 15.81
Formation energy (eV per atom): -0.672
Theoretical density (Mg/m³): 11.440
Calculated volume (Å³/atom): 16.71

Cell lengths 4.075, 4.075, 16.105 Å; angles 90.00, 90.00, 90.00 degrees
Positions (direct):
Er (0.000, 0.000, 0.000)
Er (0.000, 0.000, 0.257)
Er (0.000, 0.000, 0.743)
Cu (0.000, 0.000, 0.500)
Pd (0.000, 0.500, 0.129)
Pd (0.000, 0.500, 0.386)
Pd (0.000, 0.500, 0.614)
Pd (0.000, 0.500, 0.871)
Pd (0.500, 0.000, 0.129)
Pd (0.500, 0.000, 0.386)
Pd (0.500, 0.000, 0.614)
Pd (0.500, 0.000, 0.871)
Pd (0.500, 0.500, 0.000)
Pd (0.500, 0.500, 0.257)
Pd (0.500, 0.500, 0.500)
Pd (0.500, 0.500, 0.743)


Entry 3:
Entry from Alexandria: ErCu2Pd9 after structural relaxation (PBE).

Values from the calculation:
Raw total energy (eV per cell): -63.33
D(E_F) (states/eV/f.u.): 12.62
Formation energy (eV per atom): -0.320
Theoretical density (Mg/m³): 11.110
Calculated volume (Å³/atom): 15.60

Cell lengths 3.994, 3.994, 11.733 Å; angles 90.00, 90.00, 90.00 degrees
Positions (direct):
Er (0.000, 0.000, 0.000)
Cu (0.000, 0.000, 0.342)
Cu (0.000, 0.000, 0.658)
Pd (0.000, 0.500, 0.180)
Pd (0.000, 0.500, 0.500)
Pd (0.000, 0.500, 0.820)
Pd (0.500, 0.000, 0.180)
Pd (0.500, 0.000, 0.500)
Pd (0.500, 0.000, 0.820)
Pd (0.500, 0.500, 0.000)
Pd (0.500, 0.500, 0.340)
Pd (0.500, 0.500, 0.660)